(i)
A relaxed structure of YSiTc3. Source: the Alexandria database, functional GGA-PBE.

Cell: 4.8338 4.8338 4.8338 Å, 90.00 90.00 90.00°
Last column: nearest neighbours and their distance in Å.
Element x y z (fractional)
Y  0.0000  0.0000  0.0000  6 Tc 2.42
Si  0.5000  0.5000  0.5000  12 Tc 3.42
Tc  0.0000  0.0000  0.5000  2 Y 2.42
Tc  0.0000  0.5000  0.0000  2 Y 2.42
Tc  0.5000  0.0000  0.0000  2 Y 2.42

Calculated values
As for the space-group type: Pm-3m (221).


(ii)
A relaxed structure of YSiTc3. Source: the Alexandria database, functional GGA-PBE.

Cell: 4.5280 4.5280 4.5280 Å, 90.00 90.00 90.00°
Last column: nearest neighbours and their distance in Å.
Element x y z (fractional)
Y  0.0000  0.0000  0.0000  12 Tc 3.20
Si  0.5000  0.5000  0.5000  6 Tc 2.26
Tc  0.0000  0.5000  0.5000  2 Si 2.26
Tc  0.5000  0.0000  0.5000  2 Si 2.26
Tc  0.5000  0.5000  0.0000  2 Si 2.26

Calculated values
As for the space-group type: Pm-3m (221).


Of them, (ii) has the highest stability.